Entry P
# GaPtRh3 | the Alexandria database | GGA-PBE | optimized geometry
data_GaPtRh3
_cell_length_a 4.798
_cell_length_b 4.798
_cell_length_c 4.798
_cell_angle_alpha 90.00
_cell_angle_beta 90.00
_cell_angle_gamma 90.00
_space_group_name_H-M_alt 'P m -3 m'
_space_group_IT_number 221
_space_group_name_Hall '-P 4 2 3'
loop_
_atom_site_label
_atom_site_type_symbol
_atom_site_fract_x
_atom_site_fract_y
_atom_site_fract_z
_atom_site_occupancy
Ga1 Ga 0.000 0.000 0.000 1
Pt1 Pt 0.500 0.500 0.500 1
Rh1 Rh 0.000 0.500 0.500 1
# Magnetic moment ... 1.85 μB/f.u.
# DOS(E_F) ... 6.75 states/eV/cell

***

Entry Q
# GaPtRh3 | the Alexandria database | GGA-PBE | optimized geometry
data_GaPtRh3
_cell_length_a 4.796
_cell_length_b 4.796
_cell_length_c 17.527
_cell_angle_alpha 90.00
_cell_angle_beta 90.00
_cell_angle_gamma 90.00
_space_group_name_H-M_alt 'I -4 m 2'
_space_group_IT_number 119
_space_group_name_Hall 'I -4 -2'
loop_
_atom_site_label
_atom_site_type_symbol
_atom_site_fract_x
_atom_site_fract_y
_atom_site_fract_z
_atom_site_occupancy
Ga1 Ga 0.000 0.000 0.000 1
Ga2 Ga 0.000 0.500 0.250 1
Pt1 Pt 0.000 0.000 0.362 1
Rh1 Rh 0.000 0.249 0.126 1
Rh2 Rh 0.000 0.500 0.585 1
# Magnetic moment ... 0.00 μB/f.u.
# DOS(E_F) ... 25.55 states/eV/cell

***

We find entry Q to be the most stable, with the next structure 0.816 eV/atom higher.

***

Entry P
# TiGaPtRh | the Alexandria database | GGA-PBE | optimized geometry
data_TiGaPtRh
_cell_length_a 6.217
_cell_length_b 6.217
_cell_length_c 6.217
_cell_angle_alpha 90.00
_cell_angle_beta 90.00
_cell_angle_gamma 90.00
_space_group_name_H-M_alt 'F -4 3 m'
_space_group_IT_number 216
_space_group_name_Hall 'F -4 2 3'
loop_
_atom_site_label
_atom_site_type_symbol
_atom_site_fract_x
_atom_site_fract_y
_atom_site_fract_z
_atom_site_occupancy
Ti1 Ti 0.000 0.000 0.000 1
Ga1 Ga 0.000 0.000 0.500 1
Pt1 Pt 0.250 0.250 0.250 1
Rh1 Rh 0.250 0.250 0.750 1
# Magnetic moment ... 0.00 μB/f.u.
# DOS(E_F) ... 15.30 states/eV/cell

***

Entry Q
# TiGaPtRh | the Alexandria database | GGA-PBE | optimized geometry
data_TiGaPtRh
_cell_length_a 4.013
_cell_length_b 4.013
_cell_length_c 7.358
_cell_angle_alpha 90.00
_cell_angle_beta 90.00
_cell_angle_gamma 90.00
_space_group_name_H-M_alt 'I -4 m 2'
_space_group_IT_number 119
_space_group_name_Hall 'I -4 -2'
loop_
_atom_site_label
_atom_site_type_symbol
_atom_site_fract_x
_atom_site_fract_y
_atom_site_fract_z
_atom_site_occupancy
Ti1 Ti 0.000 0.000 0.000 1
Ga1 Ga 0.000 0.000 0.500 1
Pt1 Pt 0.000 0.500 0.250 1
Rh1 Rh 0.000 0.500 0.750 1
# Magnetic moment ... 0.00 μB/f.u.
# DOS(E_F) ... 2.58 states/eV/cell

***

We find entry Q to be the most stable, with the next structure 0.097 eV/atom higher.

***

Entry P
# ZrGaPtRh | the Alexandria database | GGA-PBE | optimized geometry
data_ZrGaPtRh
_cell_length_a 4.130
_cell_length_b 4.130
_cell_length_c 7.661
_cell_angle_alpha 90.00
_cell_angle_beta 90.00
_cell_angle_gamma 90.00
_space_group_name_H-M_alt 'I -4 m 2'
_space_group_IT_number 119
_space_group_name_Hall 'I -4 -2'
loop_
_atom_site_label
_atom_site_type_symbol
_atom_site_fract_x
_atom_site_fract_y
_atom_site_fract_z
_atom_site_occupancy
Zr1 Zr 0.000 0.000 0.000 1
Ga1 Ga 0.000 0.000 0.500 1
Pt1 Pt 0.000 0.500 0.750 1
Rh1 Rh 0.000 0.500 0.250 1
# Magnetic moment ... 0.00 μB/f.u.
# DOS(E_F) ... 1.22 states/eV/cell

***

Entry Q
# ZrGaPtRh | the Alexandria database | GGA-PBE | optimized geometry
data_ZrGaPtRh
_cell_length_a 6.430
_cell_length_b 6.430
_cell_length_c 6.430
_cell_angle_alpha 90.00
_cell_angle_beta 90.00
_cell_angle_gamma 90.00
_space_group_name_H-M_alt 'F -4 3 m'
_space_group_IT_number 216
_space_group_name_Hall 'F -4 2 3'
loop_
_atom_site_label
_atom_site_type_symbol
_atom_site_fract_x
_atom_site_fract_y
_atom_site_fract_z
_atom_site_occupancy
Zr1 Zr 0.000 0.000 0.000 1
Ga1 Ga 0.000 0.000 0.500 1
Pt1 Pt 0.250 0.250 0.250 1
Rh1 Rh 0.250 0.250 0.750 1
# Magnetic moment ... 0.00 μB/f.u.
# DOS(E_F) ... 11.46 states/eV/cell

***

We find entry P to be the most stable, with the next structure 0.077 eV/atom higher.

***

Entry P
# GaRu3Pt | the Alexandria database | GGA-PBE | optimized geometry
data_GaRu3Pt
_cell_length_a 4.823
_cell_length_b 4.823
_cell_length_c 4.823
_cell_angle_alpha 90.00
_cell_angle_beta 90.00
_cell_angle_gamma 90.00
_space_group_name_H-M_alt 'P m -3 m'
_space_group_IT_number 221
_space_group_name_Hall '-P 4 2 3'
loop_
_atom_site_label
_atom_site_type_symbol
_atom_site_fract_x
_atom_site_fract_y
_atom_site_fract_z
_atom_site_occupancy
Ga1 Ga 0.000 0.000 0.000 1
Ru1 Ru 0.000 0.500 0.500 1
Pt1 Pt 0.500 0.500 0.500 1
# Magnetic moment ... 5.09 μB/f.u.
# DOS(E_F) ... 7.75 states/eV/cell

***

Entry Q
# GaRu3Pt | the Alexandria database | GGA-PBE | optimized geometry
data_GaRu3Pt
_cell_length_a 4.456
_cell_length_b 4.456
_cell_length_c 4.456
_cell_angle_alpha 90.00
_cell_angle_beta 90.00
_cell_angle_gamma 90.00
_space_group_name_H-M_alt 'P m -3 m'
_space_group_IT_number 221
_space_group_name_Hall '-P 4 2 3'
loop_
_atom_site_label
_atom_site_type_symbol
_atom_site_fract_x
_atom_site_fract_y
_atom_site_fract_z
_atom_site_occupancy
Ga1 Ga 0.000 0.000 0.000 1
Ru1 Ru 0.000 0.000 0.500 1
Pt1 Pt 0.500 0.500 0.500 1
# Magnetic moment ... 0.00 μB/f.u.
# DOS(E_F) ... 9.25 states/eV/cell

***

We find entry Q to be the most stable, with the next structure 0.368 eV/atom higher.

***

Entry P
# Ga2SbPt2 | the Alexandria database | GGA-PBE | optimized geometry
data_Ga2SbPt2
_cell_length_a 3.860
_cell_length_b 3.860
_cell_length_c 12.347
_cell_angle_alpha 90.00
_cell_angle_beta 90.00
_cell_angle_gamma 90.00
_space_group_name_H-M_alt 'I 4/m m m'
_space_group_IT_number 139
_space_group_name_Hall '-I 4 2'
loop_
_atom_site_label
_atom_site_type_symbol
_atom_site_fract_x
_atom_site_fract_y
_atom_site_fract_z
_atom_site_occupancy
Ga1 Ga 0.000 0.500 0.250 1
Sb1 Sb 0.000 0.000 0.000 1
Pt1 Pt 0.000 0.000 0.386 1
# Magnetic moment ... 0.00 μB/f.u.
# DOS(E_F) ... 4.00 states/eV/cell

***

Entry Q
# Ga2SbPt2 | the Alexandria database | GGA-PBE | optimized geometry
data_Ga2SbPt2
_cell_length_a 7.771
_cell_length_b 7.771
_cell_length_c 2.908
_cell_angle_alpha 90.00
_cell_angle_beta 90.00
_cell_angle_gamma 90.00
_space_group_name_H-M_alt 'P 4/m b m'
_space_group_IT_number 127
_space_group_name_Hall '-P 4 2ab'
loop_
_atom_site_label
_atom_site_type_symbol
_atom_site_fract_x
_atom_site_fract_y
_atom_site_fract_z
_atom_site_occupancy
Ga1 Ga 0.140 0.360 0.000 1
Sb1 Sb 0.000 0.000 0.500 1
Pt1 Pt 0.155 0.655 0.500 1
# Magnetic moment ... 0.00 μB/f.u.
# DOS(E_F) ... 4.17 states/eV/cell

***

Entry R
# Ga2SbPt2 | the Alexandria database | GGA-PBE | optimized geometry
data_Ga2SbPt2
_cell_length_a 4.211
_cell_length_b 4.211
_cell_length_c 10.636
_cell_angle_alpha 90.00
_cell_angle_beta 90.00
_cell_angle_gamma 90.00
_space_group_name_H-M_alt 'I 4/m m m'
_space_group_IT_number 139
_space_group_name_Hall '-I 4 2'
loop_
_atom_site_label
_atom_site_type_symbol
_atom_site_fract_x
_atom_site_fract_y
_atom_site_fract_z
_atom_site_occupancy
Ga1 Ga 0.000 0.000 0.116 1
Sb1 Sb 0.000 0.000 0.500 1
Pt1 Pt 0.000 0.500 0.250 1
# Magnetic moment ... 0.00 μB/f.u.
# DOS(E_F) ... 3.75 states/eV/cell

***

We find entry P to be the most stable, with the next structure 0.020 eV/atom higher.

***

Entry P
# GaSb3Pt | the Alexandria database | GGA-PBE | optimized geometry
data_GaSb3Pt
_cell_length_a 5.333
_cell_length_b 5.333
_cell_length_c 5.333
_cell_angle_alpha 90.00
_cell_angle_beta 90.00
_cell_angle_gamma 90.00
_space_group_name_H-M_alt 'P m -3 m'
_space_group_IT_number 221
_space_group_name_Hall '-P 4 2 3'
loop_
_atom_site_label
_atom_site_type_symbol
_atom_site_fract_x
_atom_site_fract_y
_atom_site_fract_z
_atom_site_occupancy
Ga1 Ga 0.000 0.000 0.000 1
Sb1 Sb 0.000 0.500 0.500 1
Pt1 Pt 0.500 0.500 0.500 1
# Magnetic moment ... 0.00 μB/f.u.
# DOS(E_F) ... 5.61 states/eV/cell

***

Entry Q
# GaSb3Pt | the Alexandria database | GGA-PBE | optimized geometry
data_GaSb3Pt
_cell_length_a 5.151
_cell_length_b 5.151
_cell_length_c 5.151
_cell_angle_alpha 90.00
_cell_angle_beta 90.00
_cell_angle_gamma 90.00
_space_group_name_H-M_alt 'P m -3 m'
_space_group_IT_number 221
_space_group_name_Hall '-P 4 2 3'
loop_
_atom_site_label
_atom_site_type_symbol
_atom_site_fract_x
_atom_site_fract_y
_atom_site_fract_z
_atom_site_occupancy
Ga1 Ga 0.000 0.000 0.000 1
Sb1 Sb 0.000 0.000 0.500 1
Pt1 Pt 0.500 0.500 0.500 1
# Magnetic moment ... 0.00 μB/f.u.
# DOS(E_F) ... 3.41 states/eV/cell

***

We find entry P to be the most stable, with the next structure 0.493 eV/atom higher.